The following is a PBE with a Hubbard U calculation of a geometry-optimized KBi2WO8 structure, from Alexandria.

It has space group P2/m (No. 10), with a = 5.0704 Å, b = 6.9935 Å, c = 5.1050 Å, α = 90.00°, β = 92.65° and γ = 90.00°. The asymmetric unit holds K at (0.0000, 0.0000, 0.0000), Bi at (0.5000, 0.2489, 0.5000), W at (0.0000, 0.5000, 0.0000), O at (0.1940, 0.3041, 0.1872), O at (0.2787, 0.5000, 0.7151) and O at (0.3164, 0.0000, 0.6647).

The electronic total energy is -5.9074 eV per atom.